Entry 1:
Here is an optimized crystal structure of PRhAu2 from Alexandria via LeMat-Bulk. Energies are from PBE.

Summary:
- Formation enthalpy at 0 K: -0.018 eV/atom
- D(E_F): 0.34 states/eV/atom
- Volume: 67.5 Å³/cell

Cell and atoms, written as POSCAR:
```
PRhAu2
1.0
3.762 0.000 0.000
0.000 3.581 0.000
-1.862 0.000 5.008
P Rh Au
1 1 2
Cartesian
0.000 0.000 0.000
0.007 1.791 1.315
0.020 1.791 4.138
1.889 0.000 2.549
```

Entry 2:
Here is an optimized crystal structure of PRhAu2 from Alexandria via LeMat-Bulk. Energies are from PBE.

Summary:
- Formation enthalpy at 0 K: 0.176 eV/atom
- D(E_F): 0.54 states/eV/atom
- Volume: 68.6 Å³/cell

Cell and atoms, written as POSCAR:
```
PRhAu2
1.0
3.017 0.000 0.000
0.000 4.911 0.000
-0.280 0.000 4.633
P Rh Au
1 1 2
Cartesian
0.000 0.000 0.000
-0.140 0.000 2.316
0.709 2.455 1.151
2.028 2.455 3.481
```

Entry 3:
Here is an optimized crystal structure of P2RhAu from Alexandria via LeMat-Bulk. Energies are from PBE.

Summary:
- Formation enthalpy at 0 K: 0.158 eV/atom
- D(E_F): 0.57 states/eV/atom
- Volume: 129.0 Å³/cell

Cell and atoms, written as POSCAR:
```
P2RhAu
1.0
5.421 0.000 0.000
0.000 7.897 0.000
-2.678 0.000 3.014
P Rh Au
4 2 2
Cartesian
1.355 1.974 0.000
1.355 5.923 0.000
4.065 1.974 0.000
4.065 5.923 0.000
-1.339 0.000 1.507
1.371 3.948 1.507
-1.339 3.948 1.507
1.371 0.000 1.507
```

Entry 4:
Here is an optimized crystal structure of PRhAu2 from Alexandria via LeMat-Bulk. Energies are from PBE.

Summary:
- Formation enthalpy at 0 K: -0.204 eV/atom
- D(E_F): 0.28 states/eV/atom
- Volume: 141.2 Å³/cell

Cell and atoms, written as POSCAR:
```
PRhAu2
1.0
5.691 0.000 0.000
0.000 3.083 0.000
-0.226 0.000 8.051
P Rh Au
2 2 4
Cartesian
0.000 0.000 0.000
2.846 1.541 0.000
1.841 0.000 1.283
4.686 1.541 1.283
0.825 1.541 3.502
2.672 1.541 5.700
3.671 0.000 3.502
5.518 0.000 5.700
```

Entry 5:
Here is an optimized crystal structure of PRh2Au from Alexandria via LeMat-Bulk. Energies are from PBE.

Summary:
- Formation enthalpy at 0 K: 0.258 eV/atom
- D(E_F): 0.76 states/eV/atom
- Volume: 60.9 Å³/cell

Cell and atoms, written as POSCAR:
```
PRh2Au
1.0
2.855 0.000 0.000
0.000 4.481 0.000
0.000 0.000 4.765
P Rh Au
1 2 1
Cartesian
0.000 0.000 0.000
0.000 2.240 2.382
1.427 2.240 0.000
1.427 0.000 2.382
```

Entry 6:
Here is an optimized crystal structure of P2RhAu from Alexandria via LeMat-Bulk. Energies are from PBE.

Summary:
- Formation enthalpy at 0 K: -0.139 eV/atom
- D(E_F): 0.50 states/eV/atom
- Volume: 136.8 Å³/cell

Cell and atoms, written as POSCAR:
```
P2RhAu
1.0
7.493 0.000 0.000
0.000 3.491 0.000
-0.033 0.000 5.228
P Rh Au
4 2 2
Cartesian
0.000 0.000 0.000
1.634 1.745 2.227
3.747 1.745 0.000
5.381 0.000 2.227
2.161 0.000 0.807
5.908 1.745 0.807
3.263 0.000 3.447
7.010 1.745 3.447
```

Entry 7:
Here is an optimized crystal structure of PRh2Au from Alexandria via LeMat-Bulk. Energies are from PBE.

Summary:
- Formation enthalpy at 0 K: 0.118 eV/atom
- D(E_F): 1.27 states/eV/atom
- Volume: 59.8 Å³/cell

Cell and atoms, written as POSCAR:
```
PRh2Au
1.0
4.468 0.000 0.000
0.000 4.468 0.000
0.000 0.000 2.995
P Rh Au
1 2 1
Cartesian
0.000 0.000 0.000
0.000 2.234 1.497
2.234 0.000 1.497
2.234 2.234 0.000
```

Entry 8:
Here is an optimized crystal structure of P3RhAu from Alexandria via LeMat-Bulk. Energies are from PBE.

Summary:
- Formation enthalpy at 0 K: 0.734 eV/atom
- D(E_F): 1.01 states/eV/atom
- Volume: 96.8 Å³/cell

Cell and atoms, written as POSCAR:
```
P3RhAu
1.0
4.592 0.000 0.000
0.000 4.592 0.000
0.000 0.000 4.592
P Rh Au
3 1 1
Cartesian
0.000 0.000 2.296
0.000 2.296 0.000
2.296 0.000 0.000
0.000 0.000 0.000
2.296 2.296 2.296
```

Entry 9:
Here is an optimized crystal structure of P2RhAu from Alexandria via LeMat-Bulk. Energies are from PBE.

Summary:
- Formation enthalpy at 0 K: 0.294 eV/atom
- D(E_F): 0.75 states/eV/atom
- Volume: 121.4 Å³/cell

Cell and atoms, written as POSCAR:
```
P2RhAu
1.0
3.756 0.000 0.000
0.000 3.756 0.000
0.000 0.000 8.606
P Rh Au
4 2 2
Cartesian
0.000 0.000 0.000
0.000 1.878 2.152
1.878 0.000 6.455
1.878 1.878 4.303
0.000 1.878 6.455
1.878 0.000 2.152
0.000 0.000 4.303
1.878 1.878 0.000
```

Entry 10:
Here is an optimized crystal structure of P2RhAu from Alexandria via LeMat-Bulk. Energies are from PBE.

Summary:
- Formation enthalpy at 0 K: 0.385 eV/atom
- D(E_F): 0.76 states/eV/atom
- Volume: 62.0 Å³/cell

Cell and atoms, written as POSCAR:
```
P2RhAu
1.0
2.920 0.000 0.000
0.000 4.270 0.000
0.000 0.000 4.973
P Rh Au
2 1 1
Cartesian
0.000 0.000 0.000
1.460 0.000 2.487
0.000 2.135 2.487
1.460 2.135 0.000
```

Entry 11:
Here is an optimized crystal structure of PRhAu2 from Alexandria via LeMat-Bulk. Energies are from PBE.

Summary:
- Formation enthalpy at 0 K: -0.071 eV/atom
- D(E_F): 0.45 states/eV/atom
- Volume: 65.0 Å³/cell

Cell and atoms, written as POSCAR:
```
PRhAu2
1.0
3.019 0.000 0.000
0.000 3.019 0.000
0.000 0.000 7.134
P Rh Au
1 1 2
Cartesian
0.000 0.000 0.000
1.510 1.510 1.093
0.000 0.000 3.146
1.510 1.510 5.150
```

Entry 12:
Here is an optimized crystal structure of PRh2Au from Alexandria via LeMat-Bulk. Energies are from PBE.

Summary:
- Formation enthalpy at 0 K: 0.277 eV/atom
- D(E_F): 1.58 states/eV/atom
- Volume: 242.3 Å³/cell

Cell and atoms, written as POSCAR:
```
PRh2Au
1.0
6.234 0.000 0.000
0.000 6.234 0.000
0.000 0.000 6.234
P Rh Au
4 8 4
Cartesian
0.000 0.000 0.000
0.000 3.117 3.117
3.117 0.000 3.117
3.117 3.117 0.000
0.000 0.000 3.117
0.000 3.117 0.000
1.559 1.559 1.559
1.559 4.676 4.676
3.117 0.000 0.000
3.117 3.117 3.117
4.676 1.559 4.676
4.676 4.676 1.559
1.559 1.559 4.676
1.559 4.676 1.559
4.676 1.559 1.559
4.676 4.676 4.676
```

Entry 13:
Here is an optimized crystal structure of P2RhAu from Alexandria via LeMat-Bulk. Energies are from PBE.

Summary:
- Formation enthalpy at 0 K: -0.006 eV/atom
- D(E_F): 0.56 states/eV/atom
- Volume: 190.5 Å³/cell

Cell and atoms, written as POSCAR:
```
P2RhAu
1.0
3.286 0.000 0.000
-1.643 2.845 0.000
0.000 0.000 20.379
P Rh Au
6 3 3
Cartesian
0.000 0.000 0.000
0.000 0.000 5.086
0.000 1.897 13.586
0.000 1.897 18.673
1.643 0.948 6.793
1.643 0.948 11.879
0.000 0.000 14.874
0.000 1.897 8.081
1.643 0.948 1.288
0.000 0.000 10.261
0.000 1.897 3.467
1.643 0.948 17.054
```

Entry 14:
Here is an optimized crystal structure of PRh2Au from Alexandria via LeMat-Bulk. Energies are from PBE.

Summary:
- Formation enthalpy at 0 K: -0.336 eV/atom
- D(E_F): 0.22 states/eV/atom
- Volume: 195.7 Å³/cell

Cell and atoms, written as POSCAR:
```
PRh2Au
1.0
3.559 0.000 0.000
-1.780 3.082 0.000
0.000 0.000 17.839
P Rh Au
3 6 3
Cartesian
0.000 0.000 0.000
0.000 2.055 11.892
1.780 1.027 5.946
0.000 0.000 6.991
0.000 0.000 10.877
0.000 2.055 1.045
0.000 2.055 4.931
1.780 1.027 12.938
1.780 1.027 16.823
0.000 0.000 3.009
0.000 2.055 14.902
1.780 1.027 8.956
```

Entry 15:
Here is an optimized crystal structure of P2RhAu from Alexandria via LeMat-Bulk. Energies are from PBE.

Summary:
- Formation enthalpy at 0 K: -0.060 eV/atom
- D(E_F): 0.33 states/eV/atom
- Volume: 62.2 Å³/cell

Cell and atoms, written as POSCAR:
```
P2RhAu
1.0
4.292 0.000 0.000
0.000 3.256 0.000
-2.091 0.000 4.451
P Rh Au
2 1 1
Cartesian
0.000 0.000 0.000
1.493 1.628 0.556
0.919 1.628 3.137
3.108 0.000 2.093
```